(1)
A plane-wave DFT calculation with PBE-GGA was carried out for a relaxed structure of YZn2Ru.

## Properties
V (Å³/cell): 70.5
Energy relative to the elements (eV/atom): -0.17
Crystal system: tetragonal

Cell lengths 3.4198, 3.4198, 6.0242 Å; angles 90.00, 90.00, 90.01 degrees
Fractional positions:
Zn: 0.0000 0.0000 0.4536
Zn: 0.0000 0.0000 0.0464
Ru: 0.5000 0.5000 0.2500
Y: 0.5000 0.5000 0.7500

---

(2)
A plane-wave DFT calculation with PBE-GGA was carried out for a relaxed structure of Cr2SiOs.

## Properties
V (Å³/cell): 51.0
Raw formation energy (eV/atom): 0.0556
Crystal system: trigonal

Cell lengths 8.4540, 8.4540, 8.4540 Å; angles 18.11, 18.11, 18.11 degrees
Each line ends with the local moment (μB).
Fractional positions:
Cr: 0.4978 0.4978 0.4978  0.15
Cr: 0.0022 0.0022 0.0022  0.15
Si: 0.7500 0.7500 0.7500  0.00
Os: 0.2500 0.2500 0.2500  0.02

---

(3)
A plane-wave DFT calculation with PBE-GGA was carried out for a relaxed structure of Pr4HoTl5.

## Properties
V (Å³/cell): 297.1
Energy relative to the elements (eV/atom): -0.38
Crystal system: tetragonal

Cell lengths 3.8398, 3.8398, 20.1529 Å; angles 90.00, 90.00, 90.00 degrees
Fractional positions:
Pr: 0.0000 0.0000 0.3977
Pr: 0.0000 0.0000 0.6023
Pr: 0.0000 0.0000 0.8070
Pr: 0.0000 0.0000 0.1930
Tl: 0.5000 0.5000 0.9097
Tl: 0.5000 0.5000 0.5000
Tl: 0.5000 0.5000 0.0903
Tl: 0.5000 0.5000 0.7051
Tl: 0.5000 0.5000 0.2949
Ho: 0.0000 0.0000 0.0000

---

(4)
A plane-wave DFT calculation with PBE-GGA was carried out for a relaxed structure of LaAsS2N.

## Properties
V (Å³/cell): 93.0
Raw formation energy (eV/atom): -0.4278
Excess energy over the best structure of this formula in the dataset (meV per atom): 0.0
Crystal system: tetragonal

Cell lengths 4.8953, 4.8953, 3.8797 Å; angles 90.00, 90.00, 90.00 degrees
Fractional positions:
As: 0.0000 0.0000 0.0000
N: 0.0000 0.0000 0.5000
S: 0.5000 0.0000 0.0000
S: 0.0000 0.5000 0.0000
La: 0.5000 0.5000 0.5000

---

(5)
A plane-wave DFT calculation with PBE-GGA was carried out for a relaxed structure of ZnCuTe2.

## Properties
V (Å³/cell): 417.0
Raw formation energy (eV/atom): -0.0735
Excess energy over the best structure of this formula in the dataset (meV per atom): 150.9
Crystal system: monoclinic

Cell lengths 18.2215, 4.2032, 8.2618 Å; angles 90.00, 138.78, 90.00 degrees
Fractional positions:
Te: 0.3749 0.5215 0.1176
Te: 0.3764 0.2300 0.6321
Te: 0.1236 0.7300 0.8679
Te: 0.8749 0.9785 0.6176
Te: 0.8764 0.2700 0.1321
Te: 0.6251 0.4785 0.8824
Te: 0.1251 0.0215 0.3824
Te: 0.6236 0.7700 0.3679
Cu: 0.7631 0.2710 0.6683
Cu: 0.7369 0.7710 0.8317
Cu: 0.2631 0.2290 0.1683
Cu: 0.2369 0.7290 0.3317
Zn: 0.4308 0.7731 0.4943
Zn: 0.0692 0.2731 0.0057
Zn: 0.9308 0.7269 0.9943
Zn: 0.5692 0.2269 0.5057

---

(6)
A plane-wave DFT calculation with PBE-GGA was carried out for a relaxed structure of Pr12Tm5Mg2.

## Properties
V (Å³/cell): 636.6
Energy relative to the elements (eV/atom): 0.09
Crystal system: monoclinic

Cell lengths 9.2873, 9.1875, 8.6539 Å; angles 92.07, 90.00, 120.36 degrees
Fractional positions:
Pr: 0.9189 0.8378 0.1192
Pr: 0.9651 0.3003 0.2340
Pr: 0.8213 0.2535 0.6785
Pr: 0.6647 0.6997 0.7660
Pr: 0.3353 0.3003 0.2340
Pr: 0.5616 0.1232 0.3393
Pr: 0.0349 0.6997 0.7660
Pr: 0.0811 0.1622 0.8808
Pr: 0.1787 0.7465 0.3215
Pr: 0.4384 0.8768 0.6607
Pr: 0.4323 0.2535 0.6785
Pr: 0.5677 0.7465 0.3215
Mg: 0.3366 0.0000 0.0000
Mg: 0.6634 0.0000 0.0000
Tm: 0.2307 0.4614 0.5731
Tm: 0.7693 0.5386 0.4269
Tm: 0.7012 0.4024 0.0259
Tm: 0.2988 0.5976 0.9741
Tm: 0.0000 0.0000 0.5000

---

no.,DOS at the Fermi energy (states/eV/cell)
1,2.6
2,5.1
3,8.3
4,2.0
5,1.9
6,28.8